# 1
First-principles (PBE) data for a relaxed In4SbTe crystal, as listed in the Alexandria database.

Lattice parameters (Å, degrees): 6.282 6.282 6.282 60.00 60.00 60.00
Sites, in units of the cell vectors:
In  0.875  0.375  0.375
In  0.375  0.375  0.875
In  0.375  0.875  0.375
In  0.375  0.375  0.375
Sb  0.750  0.750  0.750
Te  0.000  0.000  0.000

Total DFT energy (no corrections): -17.20 eV/cell
Total magnetization: 0.000 μB/cell
Space group: No. 216


# 2
First-principles (PBE) data for a relaxed Mn2AsPt crystal, as listed in the Alexandria database.

Lattice parameters (Å, degrees): 4.204 4.204 4.204 60.00 60.00 60.00
Sites, in units of the cell vectors:
As  0.000  0.000  0.000
Mn  0.250  0.250  0.250
Mn  0.750  0.750  0.750
Pt  0.500  0.500  0.500

Total magnetization: 0.000 μB/cell
Offset from the most stable computed form: 289 meV per atom
Space group: No. 225


| no. | N(E_F) (states/eV/f.u.) |
| --- | --- |
| 1 | 4.9 |
| 2 | 4.6 |